No. 1
AgPdSO: optimized geometry, GGA-PBE.

Lattice parameters (Å, degrees): 3.3050 14.7328 5.0412 90.00 90.00 90.00
Element x y z (fractional)
Ag1 0.0000 0.0534 0.0000
Ag2 0.0000 0.9466 0.5000
Ag3 0.5000 0.4466 0.5000
Ag4 0.5000 0.5534 0.0000
Pd1 0.0000 0.3112 0.9875
Pd2 0.0000 0.6888 0.4875
Pd3 0.5000 0.1888 0.4875
Pd4 0.5000 0.8112 0.9875
S1 0.0000 0.3022 0.4869
S2 0.0000 0.6978 0.9869
S3 0.5000 0.1978 0.9869
S4 0.5000 0.8022 0.4869
O1 0.0000 0.0970 0.4853
O2 0.0000 0.9030 0.9853
O3 0.5000 0.4030 0.9853
O4 0.5000 0.5970 0.4853

Values from the calculation:
excess energy over the best structure of this formula in the dataset	0.132	eV per formula unit
calculated volume	15.34	Å³/atom
E	-4.419	eV per atom

---

No. 2
PmHoAsO: optimized geometry, GGA-PBE.

Lattice parameters (Å, degrees): 4.1569 7.9644 5.7180 90.00 90.00 90.00
Element x y z (fractional)
Pm1 0.0000 0.1196 0.0000
Pm2 0.0000 0.8804 0.5000
Ho1 0.5000 0.2902 0.4531
Ho2 0.5000 0.7098 0.9531
As1 0.5000 0.3552 0.9482
As2 0.5000 0.6448 0.4482
O1 0.0000 0.1775 0.4093
O2 0.0000 0.8225 0.9093

Values from the calculation:
excess energy over the best structure of this formula in the dataset	0.206	eV per formula unit
calculated volume	23.66	Å³/atom
E	-6.657	eV per atom

---

No. 3
FeHgSbAu: optimized geometry, GGA-PBE.

Lattice parameters (Å, degrees): 6.8068 6.8068 6.8068 90.00 90.00 90.00
Element x y z (fractional)
Fe1 0.0000 0.0000 0.0000
Fe2 0.0000 0.5000 0.5000
Fe3 0.5000 0.0000 0.5000
Fe4 0.5000 0.5000 0.0000
Hg1 0.2500 0.2500 0.2500
Hg2 0.2500 0.7500 0.7500
Hg3 0.7500 0.2500 0.7500
Hg4 0.7500 0.7500 0.2500
Sb1 0.2500 0.2500 0.7500
Sb2 0.2500 0.7500 0.2500
Sb3 0.7500 0.2500 0.2500
Sb4 0.7500 0.7500 0.7500
Au1 0.0000 0.0000 0.5000
Au2 0.0000 0.5000 0.0000
Au3 0.5000 0.0000 0.0000
Au4 0.5000 0.5000 0.5000

Values from the calculation:
excess energy over the best structure of this formula in the dataset	0.000	eV per formula unit
calculated volume	19.71	Å³/atom
E	-3.609	eV per atom

---

No. 4
SmGaPd2: optimized geometry, GGA-PBE.

Lattice parameters (Å, degrees): 7.5058 7.1688 5.6989 90.00 90.00 90.00
Element x y z (fractional)
Sm1 0.0324 0.2500 0.1463
Sm2 0.4676 0.7500 0.6463
Sm3 0.5324 0.2500 0.3537
Sm4 0.9676 0.7500 0.8537
Ga1 0.1172 0.7500 0.3534
Ga2 0.3828 0.2500 0.8534
Ga3 0.6172 0.7500 0.1466
Ga4 0.8828 0.2500 0.6466
Pd1 0.1803 0.0524 0.5885
Pd2 0.1803 0.4476 0.5885
Pd3 0.3197 0.5524 0.0885
Pd4 0.3197 0.9476 0.0885
Pd5 0.6803 0.0524 0.9115
Pd6 0.6803 0.4476 0.9115
Pd7 0.8197 0.5524 0.4115
Pd8 0.8197 0.9476 0.4115

Values from the calculation:
calculated volume	19.17	Å³/atom
E	-5.400	eV per atom

---

No. 5
Hf4P3W2N3: optimized geometry, GGA-PBE.

Lattice parameters (Å, degrees): 5.7465 5.7465 12.0584 103.43 103.43 60.10
Element x y z (fractional)
Hf1 0.0206 0.2128 0.1027
Hf2 0.1465 0.2980 0.3970
Hf3 0.2128 0.0206 0.6027
Hf4 0.2980 0.1465 0.8970
Hf5 0.7020 0.8535 0.1030
Hf6 0.7872 0.9794 0.3973
Hf7 0.8535 0.7020 0.6030
Hf8 0.9794 0.7872 0.8973
P1 0.1120 0.8880 0.2500
P2 0.2743 0.4175 0.7469
P3 0.4175 0.2743 0.2469
P4 0.5825 0.7257 0.7531
P5 0.7257 0.5825 0.2531
P6 0.8880 0.1120 0.7500
W1 0.3841 0.5294 0.0943
W2 0.4706 0.6159 0.4057
W3 0.5294 0.3841 0.5943
W4 0.6159 0.4706 0.9057
N1 0.0000 0.5000 0.0000
N2 0.1400 0.6789 0.4997
N3 0.3211 0.8600 0.0003
N4 0.5000 0.0000 0.5000
N5 0.6789 0.1400 0.9997
N6 0.8600 0.3211 0.5003

Values from the calculation:
calculated volume	13.86	Å³/atom
E	-9.893	eV per atom

---

No. 6
Dy3Re3Mo2N12: optimized geometry, GGA-PBE.

Lattice parameters (Å, degrees): 10.9838 10.9838 10.9838 109.47 109.47 109.47
Element x y z (fractional)
Dy1 0.1250 0.2500 0.3750
Dy2 0.1250 0.3750 0.7500
Dy3 0.2500 0.3750 0.1250
Dy4 0.2500 0.8750 0.6250
Dy5 0.3750 0.1250 0.2500
Dy6 0.3750 0.7500 0.1250
Dy7 0.6250 0.2500 0.8750
Dy8 0.6250 0.8750 0.7500
Dy9 0.7500 0.1250 0.3750
Dy10 0.7500 0.6250 0.8750
Dy11 0.8750 0.6250 0.2500
Dy12 0.8750 0.7500 0.6250
Re1 0.1250 0.7500 0.8750
Re2 0.1250 0.8750 0.2500
Re3 0.2500 0.1250 0.8750
Re4 0.2500 0.6250 0.3750
Re5 0.3750 0.2500 0.6250
Re6 0.3750 0.6250 0.7500
Re7 0.6250 0.3750 0.2500
Re8 0.6250 0.7500 0.3750
Re9 0.7500 0.3750 0.6250
Re10 0.7500 0.8750 0.1250
Re11 0.8750 0.1250 0.7500
Re12 0.8750 0.2500 0.1250
Mo1 0.0000 0.0000 0.0000
Mo2 0.0000 0.0000 0.5000
Mo3 0.0000 0.5000 0.0000
Mo4 0.0000 0.5000 0.5000
Mo5 0.5000 0.0000 0.0000
Mo6 0.5000 0.0000 0.5000
Mo7 0.5000 0.5000 0.0000
Mo8 0.5000 0.5000 0.5000
N1 0.0206 0.2036 0.1177
N2 0.0206 0.3170 0.9029
N3 0.0859 0.7036 0.6830
N4 0.0859 0.8823 0.4029
N5 0.0971 0.6177 0.4141
N6 0.0971 0.9794 0.6830
N7 0.1177 0.0206 0.2036
N8 0.1177 0.5971 0.9141
N9 0.1830 0.2036 0.5859
N10 0.1830 0.4794 0.5971
N11 0.2036 0.1177 0.0206
N12 0.2036 0.5859 0.1830
N13 0.2964 0.3170 0.9141
N14 0.2964 0.4794 0.3823
N15 0.3170 0.9029 0.0206
N16 0.3170 0.9141 0.2964
N17 0.3823 0.2964 0.4794
N18 0.3823 0.5859 0.9029
N19 0.4029 0.0859 0.8823
N20 0.4029 0.8170 0.5206
N21 0.4141 0.0971 0.6177
N22 0.4141 0.8170 0.7964
N23 0.4794 0.3823 0.2964
N24 0.4794 0.5971 0.1830
N25 0.5206 0.4029 0.8170
N26 0.5206 0.6177 0.7036
N27 0.5859 0.1830 0.2036
N28 0.5859 0.9029 0.3823
N29 0.5971 0.1830 0.4794
N30 0.5971 0.9141 0.1177
N31 0.6177 0.4141 0.0971
N32 0.6177 0.7036 0.5206
N33 0.6830 0.0859 0.7036
N34 0.6830 0.0971 0.9794
N35 0.7036 0.5206 0.6177
N36 0.7036 0.6830 0.0859
N37 0.7964 0.4141 0.8170
N38 0.7964 0.8823 0.9794
N39 0.8170 0.5206 0.4029
N40 0.8170 0.7964 0.4141
N41 0.8823 0.4029 0.0859
N42 0.8823 0.9794 0.7964
N43 0.9029 0.0206 0.3170
N44 0.9029 0.3823 0.5859
N45 0.9141 0.1177 0.5971
N46 0.9141 0.2964 0.3170
N47 0.9794 0.6830 0.0971
N48 0.9794 0.7964 0.8823

Values from the calculation:
calculated volume	12.75	Å³/atom
E	-9.208	eV per atom

---

No. 7
PuBAs: optimized geometry, GGA-PBE.

Lattice parameters (Å, degrees): 5.8888 5.8888 5.8888 90.00 90.00 90.00
Element x y z (fractional)
Pu1 0.0000 0.0000 0.0000
Pu2 0.0000 0.5000 0.5000
Pu3 0.5000 0.0000 0.5000
Pu4 0.5000 0.5000 0.0000
B1 0.2500 0.2500 0.7500
B2 0.2500 0.7500 0.2500
B3 0.7500 0.2500 0.2500
B4 0.7500 0.7500 0.7500
As1 0.0000 0.0000 0.5000
As2 0.0000 0.5000 0.0000
As3 0.5000 0.0000 0.0000
As4 0.5000 0.5000 0.5000

Values from the calculation:
excess energy over the best structure of this formula in the dataset	0.000	eV per formula unit
calculated volume	17.02	Å³/atom
E	-8.492	eV per atom

---

No. 8
Co7Re5: optimized geometry, GGA-PBE.

Lattice parameters (Å, degrees): 4.9010 4.9010 15.1799 90.00 90.00 120.00
Element x y z (fractional)
Co1 0.0000 0.0000 0.0870
Co2 0.0000 0.0000 0.4130
Co3 0.0000 0.0000 0.5870
Co4 0.0000 0.0000 0.9130
Co5 0.0000 0.5000 0.0000
Co6 0.0000 0.5000 0.5000
Co7 0.3333 0.6667 0.1194
Co8 0.3333 0.6667 0.3806
Co9 0.5000 0.0000 0.0000
Co10 0.5000 0.0000 0.5000
Co11 0.5000 0.5000 0.0000
Co12 0.5000 0.5000 0.5000
Co13 0.6667 0.3333 0.6194
Co14 0.6667 0.3333 0.8806
Re1 0.1635 0.3270 0.2500
Re2 0.1635 0.8365 0.2500
Re3 0.3270 0.1635 0.7500
Re4 0.3333 0.6667 0.6539
Re5 0.3333 0.6667 0.8461
Re6 0.6667 0.3333 0.1539
Re7 0.6667 0.3333 0.3461
Re8 0.6730 0.8365 0.2500
Re9 0.8365 0.1635 0.7500
Re10 0.8365 0.6730 0.7500

Values from the calculation:
excess energy over the best structure of this formula in the dataset	0.148	eV per formula unit
calculated volume	13.16	Å³/atom
E	-8.973	eV per atom
energy relative to the elements	0.349	eV per atom

---

No. 9
TaGaTc: optimized geometry, GGA-PBE.

Lattice parameters (Å, degrees): 6.0754 6.0754 6.0754 90.00 90.00 90.00
Element x y z (fractional)
Ta1 0.0000 0.0000 0.0000
Ta2 0.0000 0.5000 0.5000
Ta3 0.5000 0.0000 0.5000
Ta4 0.5000 0.5000 0.0000
Ga1 0.0000 0.0000 0.5000
Ga2 0.0000 0.5000 0.0000
Ga3 0.5000 0.0000 0.0000
Ga4 0.5000 0.5000 0.5000
Tc1 0.2500 0.2500 0.7500
Tc2 0.2500 0.7500 0.2500
Tc3 0.7500 0.2500 0.2500
Tc4 0.7500 0.7500 0.7500

Values from the calculation:
excess energy over the best structure of this formula in the dataset	0.000	eV per formula unit
calculated volume	18.69	Å³/atom
E	-8.180	eV per atom

---

No. 10
OsW3N: optimized geometry, GGA-PBE.

Lattice parameters (Å, degrees): 4.1005 4.1005 4.1005 90.00 90.00 90.00
Element x y z (fractional)
Os1 0.0000 0.0000 0.0000
W1 0.0000 0.5000 0.5000
W2 0.5000 0.0000 0.5000
W3 0.5000 0.5000 0.0000
N1 0.5000 0.5000 0.5000

Values from the calculation:
calculated volume	13.79	Å³/atom
E	-11.637	eV per atom

---

No. 11
Tm2Ge2AsP3: optimized geometry, GGA-PBE.

Lattice parameters (Å, degrees): 13.0294 4.1995 6.4942 90.00 102.90 90.00
Element x y z (fractional)
Tm1 0.1307 0.0000 0.3812
Tm2 0.3693 0.5000 0.6188
Tm3 0.6307 0.5000 0.3812
Tm4 0.8693 0.0000 0.6188
Ge1 0.1209 0.3283 0.8844
Ge2 0.3791 0.8283 0.1156
Ge3 0.6209 0.8283 0.8844
Ge4 0.8791 0.3283 0.1156
As1 0.0000 0.4959 0.5000
As2 0.5000 0.9959 0.5000
P1 0.0000 0.9591 0.0000
P2 0.2359 0.5039 0.2194
P3 0.2641 0.0039 0.7806
P4 0.5000 0.4591 0.0000
P5 0.7359 0.0039 0.2194
P6 0.7641 0.5039 0.7806

Values from the calculation:
calculated volume	21.65	Å³/atom
E	-5.442	eV per atom

---

No. 12
ZnSi2Ag: optimized geometry, GGA-PBE.

Lattice parameters (Å, degrees): 6.4265 6.4265 6.4265 90.00 90.00 90.00
Element x y z (fractional)
Zn1 0.0000 0.0000 0.0000
Zn2 0.0000 0.5000 0.5000
Zn3 0.5000 0.0000 0.5000
Zn4 0.5000 0.5000 0.0000
Si1 0.0000 0.0000 0.5000
Si2 0.0000 0.5000 0.0000
Si3 0.2500 0.2500 0.7500
Si4 0.2500 0.7500 0.2500
Si5 0.5000 0.0000 0.0000
Si6 0.5000 0.5000 0.5000
Si7 0.7500 0.2500 0.2500
Si8 0.7500 0.7500 0.7500
Ag1 0.2500 0.2500 0.2500
Ag2 0.2500 0.7500 0.7500
Ag3 0.7500 0.2500 0.7500
Ag4 0.7500 0.7500 0.2500

Values from the calculation:
calculated volume	16.59	Å³/atom
E	-3.301	eV per atom